No. 1
Density functional theory data (PBE) for a geometry-optimized CaLaRu3 structure.

Summary:
energy above the most stable polymorph in this dataset	0.79	eV/f.u.
ΔE_f	1.364	eV per atom
total magnetic moment	0.000	μB per formula unit

Structure (CIF):
```
data_CaLaRu3
_cell_length_a 4.785
_cell_length_b 4.785
_cell_length_c 4.785
_cell_angle_alpha 90.00
_cell_angle_beta 90.00
_cell_angle_gamma 90.00
_symmetry_space_group_name_H-M 'P m -3 m'
_symmetry_Int_Tables_number 221
_symmetry_space_group_name_Hall '-P 4 2 3'
loop_
_atom_site_label
_atom_site_type_symbol
_atom_site_fract_x
_atom_site_fract_y
_atom_site_fract_z
_atom_site_occupancy
Ca1 Ca 0.000 0.000 0.000 1
La1 La 0.500 0.500 0.500 1
Ru1 Ru 0.000 0.000 0.500 1
```



No. 2
Density functional theory data (PBE) for a geometry-optimized CsBaRhO3 structure.

Summary:
E_form (uncorrected)	-1.490	eV per atom
total magnetic moment	2.017	μB per formula unit

Structure (CIF):
```
data_CsBaRhO3
_cell_length_a 14.322
_cell_length_b 4.088
_cell_length_c 8.704
_cell_angle_alpha 90.00
_cell_angle_beta 106.57
_cell_angle_gamma 90.00
_symmetry_space_group_name_H-M 'C 1 2/m 1'
_symmetry_Int_Tables_number 12
_symmetry_space_group_name_Hall '-C 2y'
loop_
_atom_site_label
_atom_site_type_symbol
_atom_site_fract_x
_atom_site_fract_y
_atom_site_fract_z
_atom_site_occupancy
Cs1 Cs 0.141 0.000 0.065 1
Ba1 Ba 0.149 0.000 0.578 1
Rh1 Rh 0.007 0.500 0.284 1
O1 O 0.007 0.000 0.294 1
O2 O 0.134 0.500 0.782 1
O3 O 0.150 0.500 0.361 1
```



No. 3
Density functional theory data (PBE) for a geometry-optimized Tb4Pr6Sm structure.

Summary:
energy above the most stable polymorph in this dataset	0.00	eV/f.u.
ΔE_f	0.283	eV per atom
total magnetic moment	0.000	μB per formula unit

Structure (CIF):
```
data_Tb4Pr6Sm
_cell_length_a 6.632
_cell_length_b 6.632
_cell_length_c 17.746
_cell_angle_alpha 90.00
_cell_angle_beta 90.00
_cell_angle_gamma 90.00
_symmetry_space_group_name_H-M 'I -4 2 m'
_symmetry_Int_Tables_number 121
_symmetry_space_group_name_Hall 'I -4 2'
loop_
_atom_site_label
_atom_site_type_symbol
_atom_site_fract_x
_atom_site_fract_y
_atom_site_fract_z
_atom_site_occupancy
Tb1 Tb 0.186 0.186 0.176 1
Pr1 Pr 0.000 0.500 0.000 1
Pr2 Pr 0.179 0.179 0.364 1
Sm1 Sm 0.000 0.000 0.000 1
```



> What is the total magnetic moment in the first record?

0.000 μB per formula unit



> total magnetic moment of number 3 (Tb4Pr6Sm)?

0.000 μB per formula unit